Computed, not measured: Ce2FeSe2O2 after structural relaxation at the GGA+U level of DFT.

```
Ce2FeSe2O2
1.0
11.444 0.000 0.000
0.000 3.905 0.000
-3.727 0.000 6.067
Ce Fe Se O
4 2 4 4
direct
0.188 0.000 0.239
0.312 0.500 0.761
0.688 0.500 0.239
0.812 0.000 0.761
0.000 0.000 0.500
0.500 0.500 0.500
0.060 0.500 0.820
0.440 0.000 0.180
0.560 0.000 0.820
0.940 0.500 0.180
0.198 0.000 0.584
0.302 0.500 0.416
0.698 0.500 0.584
0.802 0.000 0.416
```

Fermi-level density of states   21.91 states/eV per cell
M_tot   12.01 μB/cell
Offset from the most stable computed form   0 meV/atom
Space group   C2/m, No. 12